Below is AlPRu2 after structural relaxation, with properties calculated at the PBEsol level.

Geometry as POSCAR:
```
AlPRu2
1.0
2.8869 0.0000 0.0000
0.0000 3.6611 0.0000
-1.4434 -1.8305 5.1384
Ru Al P
2 1 1
direct
0.9571 0.9571 0.9142 Ru
0.7176 0.2176 0.4353 Ru
0.5420 0.5420 0.0841 Al
0.2832 0.7832 0.5665 P
```

Final energy: -32.106 eV/cell
N(E_F): 2.034 states/eV/f.u.